No. 1
Below is a relaxed TmTh2Ti crystal, with properties calculated at the PBE-GGA level.

Values from the calculation:
- Distance to the lowest polymorph of the same formula: 0 meV per atom
- DOS at the Fermi energy: 1.612 states/eV per atom
- M_tot: 0.00 μB per formula unit

a = 3.5870 Å, b = 3.5870 Å, c = 8.6659 Å
α = 90.00°, β = 90.00°, γ = 90.00°
Closest atoms and distances in Å follow each position.
Element x y z (fractional)
Th 0.0000 0.0000 0.7781  4 Ti 3.18, 4 Tm 3.50
Th 0.0000 0.0000 0.2219  4 Ti 3.18, 4 Tm 3.50
Ti 0.5000 0.5000 0.0000  8 Th 3.18
Tm 0.5000 0.5000 0.5000  8 Th 3.50, 4 Tm 3.59

No. 2
Below is a relaxed Pd6PbAu2 crystal, with properties calculated at the PBE-GGA level.

Values from the calculation:
- DOS at the Fermi energy: 0.543 states/eV per atom
- Energy: -85.21 eV/cell
- M_tot: 0.00 μB per formula unit

a = 4.2254 Å, b = 8.4786 Å, c = 8.4786 Å
α = 90.00°, β = 90.00°, γ = 90.00°
Closest atoms and distances in Å follow each position.
Element x y z (fractional)
Pd 0.0000 0.0114 0.1634  3 Au 2.78-2.88, 8 Pd 2.78-2.97, 1 Pb 2.86
Pd 0.5001 0.1634 0.9885  3 Au 2.78-2.88, 8 Pd 2.78-2.97, 1 Pb 2.86
Pd 0.0000 0.9886 0.8366  3 Au 2.78-2.88, 8 Pd 2.78-2.97, 1 Pb 2.86
Pd 0.5000 0.4886 0.6634  3 Au 2.78-2.88, 8 Pd 2.78-2.97, 1 Pb 2.86
Pd 0.0001 0.3366 0.4885  3 Au 2.78-2.88, 8 Pd 2.78-2.97, 1 Pb 2.86
Pd 0.9999 0.6634 0.5115  3 Au 2.78-2.88, 8 Pd 2.78-2.97, 1 Pb 2.86
Pd 0.4999 0.8366 0.0115  3 Au 2.78-2.88, 8 Pd 2.78-2.97, 1 Pb 2.86
Pd 0.5000 0.5114 0.3366  3 Au 2.78-2.88, 8 Pd 2.78-2.97, 1 Pb 2.86
Pd 0.5001 0.1561 0.6561  6 Pd 2.82-2.97, 2 Pb 2.82, 4 Au 2.85-2.90
Pd 0.4999 0.8439 0.3439  6 Pd 2.82-2.97, 2 Pb 2.82, 4 Au 2.85-2.90
Pd 0.9999 0.6561 0.8439  6 Pd 2.82-2.97, 2 Pb 2.82, 4 Au 2.85-2.90
Pd 0.0001 0.3439 0.1561  6 Pd 2.82-2.97, 2 Pb 2.82, 4 Au 2.85-2.90
Au 0.4999 0.8152 0.6848  10 Pd 2.78-2.90, 2 Pb 3.06
Au 0.9999 0.6848 0.1848  10 Pd 2.78-2.90, 2 Pb 3.06
Au 0.0001 0.3152 0.8152  10 Pd 2.78-2.90, 2 Pb 3.06
Au 0.5001 0.1848 0.3152  10 Pd 2.78-2.90, 2 Pb 3.06
Pb 0.5000 0.5000 0.0000  8 Pd 2.82-2.86, 4 Au 3.06
Pb 0.0000 0.0000 0.5000  8 Pd 2.82-2.86, 4 Au 3.06

No. 3
Below is a relaxed ThPa2Ir crystal, with properties calculated at the PBE-GGA level.

Values from the calculation:
- Distance to the lowest polymorph of the same formula: 0 meV per atom
- DOS at the Fermi energy: 1.166 states/eV per atom
- M_tot: 0.00 μB per formula unit

a = 3.6119 Å, b = 3.6119 Å, c = 7.6119 Å
α = 90.00°, β = 90.00°, γ = 90.00°
Closest atoms and distances in Å follow each position.
Element x y z (fractional)
Pa 0.0000 0.0000 0.1969  4 Ir 2.96, 1 Pa 3.00
Pa 0.0000 0.0000 0.8031  4 Ir 2.96, 1 Pa 3.00
Th 0.5000 0.5000 0.5000  8 Pa 3.44, 4 Th 3.61, 2 Ir 3.81
Ir 0.5000 0.5000 0.0000  8 Pa 2.96

No. 4
Below is a relaxed TbErAu2 crystal, with properties calculated at the PBE-GGA level.

Values from the calculation:
- Distance to the lowest polymorph of the same formula: 25 meV per atom
- DOS at the Fermi energy: 0.602 states/eV per atom
- M_tot: 0.00 μB per formula unit

a = 5.0833 Å, b = 5.0833 Å, c = 5.0833 Å
α = 60.00°, β = 60.00°, γ = 60.00°
Closest atoms and distances in Å follow each position.
Element x y z (fractional)
Au 0.7500 0.7500 0.7500  4 Tb 3.11, 4 Er 3.11
Au 0.2500 0.2500 0.2500  4 Er 3.11, 4 Tb 3.11
Er 0.5000 0.5000 0.5000  8 Au 3.11
Tb 0.0000 0.0000 0.0000  8 Au 3.11

No. 5
Below is a relaxed Nd5Sm4Y3 crystal, with properties calculated at the PBE-GGA level.

Values from the calculation:
- Distance to the lowest polymorph of the same formula: 205 meV per atom
- DOS at the Fermi energy: 1.686 states/eV per atom
- M_tot: 0.00 μB per formula unit

a = 5.9999 Å, b = 8.7611 Å, c = 9.8244 Å
α = 105.99°, β = 72.22°, γ = 69.98°
Closest atoms and distances in Å follow each position.
Element x y z (fractional)
Sm 0.8388 0.9439 0.3785  3 Y 3.37-3.55, 3 Sm 3.64-3.71, 3 Nd 3.71
Sm 0.1400 0.7777 0.9423  2 Sm 3.35-3.71, 3 Nd 3.49-3.61, 1 Y 3.50
Sm 0.1612 0.0561 0.6215  3 Y 3.37-3.55, 3 Sm 3.64-3.71, 3 Nd 3.71
Sm 0.8600 0.2223 0.0577  2 Sm 3.35-3.71, 3 Nd 3.49-3.61, 1 Y 3.50
Nd 0.3735 0.0517 0.2012  2 Y 3.32-3.56, 1 Nd 3.49, 2 Sm 3.71
Nd 0.6265 0.9483 0.7988  2 Y 3.32-3.56, 1 Nd 3.49, 2 Sm 3.71
Nd 0.5000 0.5000 0.5000  4 Y 3.00-3.12
Nd 0.7846 0.5426 0.8882  4 Y 3.27-3.53, 3 Sm 3.49-3.61
Nd 0.2154 0.4574 0.1118  4 Y 3.27-3.53, 3 Sm 3.49-3.61
Y 0.5189 0.6894 0.2729  3 Nd 3.12-3.32, 1 Sm 3.37
Y 0.0000 0.5000 0.5000  2 Nd 3.00
Y 0.4811 0.3106 0.7271  3 Nd 3.12-3.32, 1 Sm 3.37

No. 6
Below is a relaxed Ac3La2SmS6 crystal, with properties calculated at the PBE-GGA level.

Values from the calculation:
- DOS at the Fermi energy: 0.494 states/eV per atom
- Formation energy from raw total energies: -2.060 eV per atom
- M_tot: 0.00 μB per formula unit

a = 7.2801 Å, b = 7.2801 Å, c = 7.3044 Å
α = 99.61°, β = 99.61°, γ = 120.07°
Closest atoms and distances in Å follow each position.
Element x y z (fractional)
Ac 0.5000 0.5000 0.5000  6 S 3.02-3.06
Ac 0.1683 0.8317 0.5000  6 S 3.02-3.05
Ac 0.8317 0.1683 0.5000  6 S 3.02-3.05
S 0.2479 0.2479 0.7620  1 Sm 2.89, 2 La 2.94, 3 Ac 3.02-3.06
S 0.7521 0.7521 0.2380  1 Sm 2.89, 2 La 2.94, 3 Ac 3.02-3.06
S 0.4057 0.0781 0.2354  1 Sm 2.88, 2 La 2.94, 3 Ac 3.02-3.05
S 0.0781 0.4057 0.2354  1 Sm 2.88, 2 La 2.94, 3 Ac 3.02-3.05
S 0.9219 0.5943 0.7646  1 Sm 2.88, 2 La 2.94, 3 Ac 3.02-3.05
S 0.5943 0.9219 0.7646  1 Sm 2.88, 2 La 2.94, 3 Ac 3.02-3.05
La 0.3338 0.6662 0.0000  6 S 2.94
La 0.6662 0.3338 0.0000  6 S 2.94
Sm 0.0000 0.0000 0.0000  6 S 2.88-2.89

No. 7
Below is a relaxed Pr4Nd3Ho5 crystal, with properties calculated at the PBE-GGA level.

Values from the calculation:
- Distance to the lowest polymorph of the same formula: 0 meV per atom
- DOS at the Fermi energy: 1.346 states/eV per atom
- M_tot: 0.00 μB per formula unit

a = 7.2466 Å, b = 11.4743 Å, c = 13.0816 Å
α = 151.28°, β = 56.32°, γ = 129.25°
Closest atoms and distances in Å follow each position.
Element x y z (fractional)
Ho 0.6702 0.3353 0.1651  3 Ho 3.59-3.67, 4 Nd 3.60-3.66, 5 Pr 3.60-3.66
Ho 0.3298 0.6647 0.8349  3 Ho 3.59-3.67, 4 Nd 3.60-3.66, 5 Pr 3.60-3.66
Ho 0.2483 0.5002 0.0001  6 Ho 3.59-3.65, 3 Nd 3.60-3.62, 3 Pr 3.61
Ho 0.7517 0.4998 0.9999  6 Ho 3.59-3.65, 3 Nd 3.60-3.62, 3 Pr 3.61
Ho 0.5000 0.0000 0.5000  4 Pr 3.59-3.62, 4 Nd 3.62, 4 Ho 3.63-3.64
Pr 0.0828 0.1626 0.3313  4 Nd 3.60-3.67, 5 Ho 3.60-3.66, 3 Pr 3.63-3.67
Pr 0.1708 0.3395 0.1687  5 Ho 3.59-3.62, 4 Pr 3.63-3.70, 3 Nd 3.63-3.67
Pr 0.8292 0.6605 0.8313  5 Ho 3.59-3.62, 4 Pr 3.63-3.70, 3 Nd 3.63-3.67
Pr 0.9172 0.8374 0.6687  4 Nd 3.60-3.67, 5 Ho 3.60-3.66, 3 Pr 3.63-3.67
Nd 0.4206 0.8375 0.6688  6 Pr 3.60-3.67, 5 Ho 3.60-3.66, 1 Nd 3.61
Nd 0.0000 0.0000 0.5000  8 Ho 3.61-3.62, 2 Nd 3.61, 2 Pr 3.61
Nd 0.5794 0.1625 0.3312  6 Pr 3.60-3.67, 5 Ho 3.60-3.66, 1 Nd 3.61

No. 8
Below is a relaxed DyCdIrO6 crystal, with properties calculated at the PBE-GGA level.

Values from the calculation:
- DOS at the Fermi energy: 0.607 states/eV per atom
- Formation energy from raw total energies: -1.410 eV per atom
- M_tot: 1.40 μB per formula unit

a = 5.5652 Å, b = 5.5652 Å, c = 9.1261 Å
α = 90.00°, β = 90.00°, γ = 120.00°
Closest atoms and distances in Å follow each position.
Element x y z (fractional)
Cd 0.0000 0.0000 0.5000  6 O 2.35
Cd 0.0000 0.0000 0.0000  6 O 2.35
O 0.6176 0.6608 0.6316  1 Ir 1.93
O 0.9568 0.3392 0.1316  1 Ir 1.93
O 0.6608 0.0432 0.3684  1 Ir 1.93
O 0.9568 0.6176 0.3684  1 Ir 1.93
O 0.0432 0.6608 0.8684  1 Ir 1.93
O 0.6176 0.9568 0.8684  1 Ir 1.93
O 0.0432 0.3824 0.6316  1 Ir 1.93
O 0.3392 0.9568 0.6316  1 Ir 1.93
O 0.3824 0.3392 0.3684  1 Ir 1.93
O 0.3824 0.0432 0.1316  1 Ir 1.93
O 0.6608 0.6176 0.1316  1 Ir 1.93
O 0.3392 0.3824 0.8684  1 Ir 1.93
Ir 0.3333 0.6667 0.7500  6 O 1.93
Ir 0.6667 0.3333 0.2500  6 O 1.93
Dy 0.6667 0.3333 0.7500  6 O 2.25
Dy 0.3333 0.6667 0.2500  6 O 2.25

No. 9
Below is a relaxed HfMgRe3 crystal, with properties calculated at the PBE-GGA level.

Values from the calculation:
- Distance to the lowest polymorph of the same formula: 331 meV per atom
- DOS at the Fermi energy: 1.422 states/eV per atom
- M_tot: 2.49 μB per formula unit

a = 4.8113 Å, b = 4.8113 Å, c = 4.8113 Å
α = 90.00°, β = 90.00°, γ = 90.00°
Closest atoms and distances in Å follow each position.
Element x y z (fractional)
Mg 0.5000 0.5000 0.5000  12 Re 3.40
Re 0.0000 0.0000 0.5000  2 Hf 2.41
Re 0.5000 0.0000 0.0000  2 Hf 2.41
Re 0.0000 0.5000 0.0000  2 Hf 2.41
Hf 0.0000 0.0000 0.0000  6 Re 2.41

No. 10
Below is a relaxed Na3AlPd crystal, with properties calculated at the PBE-GGA level.

Values from the calculation:
- Distance to the lowest polymorph of the same formula: 342 meV per atom
- DOS at the Fermi energy: 0.555 states/eV per atom
- M_tot: 0.00 μB per formula unit

a = 5.5585 Å, b = 5.5585 Å, c = 5.5585 Å
α = 90.00°, β = 90.00°, γ = 90.00°
Closest atoms and distances in Å follow each position.
Element x y z (fractional)
Na 0.0000 0.0000 0.5000  2 Al 2.78
Na 0.0000 0.5000 0.0000  2 Al 2.78
Na 0.5000 0.0000 0.0000  2 Al 2.78
Al 0.0000 0.0000 0.0000  6 Na 2.78
Pd 0.5000 0.5000 0.5000  12 Na 3.93